# 1
Compound: MoH8S4N2
Source: the Alexandria database
Functional: PBE
Structure: relaxed

abc: 9.611 7.193 12.883
angles: 90.00 90.00 90.00
Space group Pnma (No. 62)
One atom of each set of equivalent atoms:
Mo (0.250, 0.250, 0.069) (multiplicity 4)
H (0.018, 0.250, 0.849) (multiplicity 4)
H (0.081, 0.750, 0.262) (multiplicity 4)
H (0.135, 0.250, 0.323) (multiplicity 4)
H (0.138, 0.633, 0.157) (multiplicity 8)
H (0.163, 0.133, 0.437) (multiplicity 8)
H (0.205, 0.750, 0.879) (multiplicity 4)
S (0.043, 0.250, 0.143) (multiplicity 4)
S (0.135, 0.502, 0.619) (multiplicity 8)
S (0.235, 0.250, 0.898) (multiplicity 4)
N (0.083, 0.750, 0.182) (multiplicity 4)
N (0.189, 0.250, 0.393) (multiplicity 4)

# 2
Compound: MoHSe2N
Source: the Alexandria database
Functional: PBE
Structure: relaxed

abc: 4.811 4.811 2.775
angles: 90.00 90.00 90.00
Space group P4/mmm (No. 123)
One atom of each set of equivalent atoms:
Mo (0.000, 0.000, 0.000) (multiplicity 1)
H (0.500, 0.500, 0.500) (multiplicity 1)
Se (0.000, 0.500, 0.500) (multiplicity 2)
N (0.500, 0.500, 0.000) (multiplicity 1)

# 3
Compound: MoHSe2N
Source: the Alexandria database
Functional: PBE
Structure: relaxed

abc: 5.020 5.020 3.827
angles: 90.00 90.00 90.00
Space group P4/mmm (No. 123)
One atom of each set of equivalent atoms:
Mo (0.000, 0.000, 0.000) (multiplicity 1)
H (0.500, 0.500, 0.500) (multiplicity 1)
Se (0.000, 0.500, 0.000) (multiplicity 2)
N (0.000, 0.000, 0.500) (multiplicity 1)

# 4
Compound: Sr5MoH2N4
Source: the Alexandria database
Functional: PBE
Structure: relaxed

abc: 7.529 10.150 6.100
angles: 90.00 90.00 90.00
Space group Amm2 (No. 38)
One atom of each set of equivalent atoms:
Sr (0.000, 0.000, 0.000) (multiplicity 2)
Sr (0.268, 0.177, 0.459) (multiplicity 8)
Mo (0.500, 0.000, 0.963) (multiplicity 2)
H (0.000, 0.228, 0.189) (multiplicity 4)
N (0.303, 0.000, 0.155) (multiplicity 4)
N (0.500, 0.155, 0.784) (multiplicity 4)

# 5
Compound: SrMoHN2
Source: the Alexandria database
Functional: PBE
Structure: relaxed

abc: 4.044 4.044 3.755
angles: 90.00 90.00 90.00
Space group P4/mmm (No. 123)
One atom of each set of equivalent atoms:
Sr (0.000, 0.000, 0.000) (multiplicity 1)
Mo (0.500, 0.500, 0.500) (multiplicity 1)
H (0.500, 0.500, 0.000) (multiplicity 1)
N (0.000, 0.500, 0.500) (multiplicity 2)

# 6
Compound: TcMo2HN
Source: the Alexandria database
Functional: PBE
Structure: relaxed

abc: 4.124 4.124 3.413
angles: 90.00 90.00 90.00
Space group P4/mmm (No. 123)
One atom of each set of equivalent atoms:
Tc (0.000, 0.000, 0.000) (multiplicity 1)
Mo (0.000, 0.500, 0.500) (multiplicity 2)
H (0.000, 0.000, 0.500) (multiplicity 1)
N (0.500, 0.500, 0.000) (multiplicity 1)

Number 1: E_tot -308.8 eV for the cell shown. Number 2: E_tot -23.9 eV for the cell shown. Number 3: E_tot -26.0 eV for the cell shown. Number 4: E_tot -133.7 eV for the cell shown. Number 5: E_tot -35.2 eV for the cell shown. Number 6: E_tot -38.6 eV for the cell shown.